[1]
VASP calculation (PBE-GGA) on a relaxed structure of U2PtSe.

Results
- SG: R-3m (166)
- Formation energy without anion corrections: -0.663 eV per atom
- Spin magnetization: 5.0 μB per formula unit

```
U2PtSe
1.0
-3.643 0.719 1.438
-3.144 -1.947 -1.477
-1.375 -5.466 4.764
U Pt Se
2 1 1
Cartesian
-2.051 -1.612 1.123
-6.111 -5.082 3.602
0.000 0.000 0.000
-4.081 -3.347 2.363
```

=====

[2]
VASP calculation (PBE-GGA) on a relaxed structure of LaPmSm6.

Results
- SG: P4/mmm (123)
- Spin magnetization: 0.0 μB per formula unit
- Formation energy: 17 meV/atom

```
LaPmSm6
1.0
-3.009 -3.957 1.363
4.002 -0.967 6.027
-4.371 4.576 3.637
Sm La Pm
6 1 1
Cartesian
-0.092 0.896 2.400
-2.292 3.200 4.230
0.496 -2.462 3.695
-0.277 2.713 7.263
1.923 0.409 5.433
-3.690 0.309 2.500
-1.689 -0.174 5.513
-1.505 -1.979 0.682
```

=====

[3]
VASP calculation (PBE-GGA) on a relaxed structure of MgFeNi2C.

Results
- Relative energy among the computed polymorphs: 0 meV/atom
- SG: P4/mmm (123)
- Spin magnetization: 0.2 μB per formula unit
- Formation energy: -82 meV/atom

```
MgFeNi2C
1.0
-1.515 3.330 -1.119
-3.469 -1.610 -0.093
-0.541 0.958 3.584
C Ni Mg Fe
1 2 1 1
Cartesian
0.000 0.000 0.000
-0.758 1.665 -0.559
-1.735 -0.805 -0.047
-2.763 1.339 1.186
-0.271 0.479 1.792
```